[1]
This record from Alexandria via LeMat-Bulk describes an optimized crystal structure of Er3AlTl4Te8. The functional is PBE.

Computed properties:
- crystal system = trigonal
- E_form (uncorrected) (eV/atom) = -0.8414
- raw total energy (eV/atom) = -4.09

Unit cell a=8.7498 b=8.7498 c=24.4561 alpha=90.00 beta=90.00 gamma=120.00
With the nearest neighbours (Å) after each atom.
Space group R-3m (No. 166, hexagonal axes)
Unique sites:
Er (0.0000, 0.5000, 0.0000) x9  6 Te 3.07
Al (0.0000, 0.0000, 0.0000) x3  6 Te 2.90
Tl (0.0000, 0.0000, 0.5000) x3  6 Te 3.60
Tl (0.0000, 0.5000, 0.5000) x9  6 Te 3.44-3.46
Te (0.0000, 0.0000, 0.2621) x6  3 Er 3.07
Te (0.0179, 0.5090, 0.7340) x18  1 Al 2.90, 2 Er 3.07

***

[2]
This record from Alexandria via LeMat-Bulk describes an optimized crystal structure of ErAlTlTe3. The functional is PBE.

Computed properties:
- crystal system = monoclinic
- E_form (uncorrected) (eV/atom) = -0.6895
- raw total energy (eV/atom) = -4.04

Unit cell a=9.2135 b=4.5558 c=10.4080 alpha=90.00 beta=111.05 gamma=90.00
With the nearest neighbours (Å) after each atom.
Space group P2_1/m (No. 11)
Unique sites:
Er (0.1767, 0.2500, 0.1378) x2  6 Te 3.02-3.23
Al (0.3955, 0.7500, 0.3789) x2  4 Te 2.72-2.76
Tl (0.2882, 0.7500, 0.7613) x2  7 Te 3.50-3.81
Te (0.0308, 0.2500, 0.8279) x2  3 Er 3.02-3.08
Te (0.2935, 0.2500, 0.4699) x2  3 Al 2.73-2.76
Te (0.4040, 0.7500, 0.1205) x2  1 Al 2.72

***

[3]
This record from Alexandria via LeMat-Bulk describes an optimized crystal structure of ErAlTl2Te4. The functional is PBE.

Computed properties:
- crystal system = orthorhombic
- E_form (uncorrected) (eV/atom) = -0.6192
- raw total energy (eV/atom) = -3.82

Unit cell a=8.8708 b=9.1115 c=12.8028 alpha=90.00 beta=90.00 gamma=90.00
With the nearest neighbours (Å) after each atom.
Space group Imma (No. 74)
Unique sites:
Er (0.0000, 0.0000, 0.0000) x4  6 Te 3.08-3.11
Al (0.2500, 0.2500, 0.2500) x4  6 Te 2.93
Tl (0.0000, 0.0000, 0.5000) x4  6 Te 3.31-3.33
Tl (0.2500, 0.2500, 0.7500) x4  6 Te 3.45-3.48
Te (0.0000, 0.0404, 0.2411) x8  2 Al 2.93, 1 Er 3.11
Te (0.2310, 0.2500, 0.0215) x8  1 Al 2.93, 2 Er 3.08

***

[4]
This record from Alexandria via LeMat-Bulk describes an optimized crystal structure of ErThAl3. The functional is PBE.

Computed properties:
- crystal system = orthorhombic
- ΔH_f (0 K) (eV per atom) = -0.416
- raw total energy (eV/atom) = -5.06

Unit cell a=4.2303 b=26.3294 c=4.3141 alpha=90.00 beta=90.00 gamma=90.00
With the nearest neighbours (Å) after each atom.
Space group Cmcm (No. 63)
Unique sites:
Er (0.0000, 0.2057, 0.2500) x4  7 Al 3.08-3.12
Th (0.0000, 0.0733, 0.7500) x4  12 Al 3.27-3.43
Al (0.0000, 0.3244, 0.2500) x4  2 Al 2.59
Al (0.0000, 0.3791, 0.7500) x4  3 Al 2.54-2.59
Al (0.0000, 0.4755, 0.7500) x4  3 Al 2.51-2.54

***

[5]
This record from Alexandria via LeMat-Bulk describes an optimized crystal structure of ErTh2Al. The functional is PBE.

Computed properties:
- crystal system = cubic
- offset from the most stable computed form (meV/atom) = 185.0
- ΔH_f (0 K) (eV per atom) = 0.053
- raw total energy (eV/atom) = -5.73

Unit cell a=7.6747 b=7.6747 c=7.6747 alpha=90.00 beta=90.00 gamma=90.00
With the nearest neighbours (Å) after each atom.
Space group Fm-3m (No. 225)
Unique sites:
Er (0.0000, 0.0000, 0.0000) x4  8 Th 3.32
Th (0.2500, 0.2500, 0.2500) x8  4 Er 3.32, 4 Al 3.32
Al (0.0000, 0.0000, 0.5000) x4  8 Th 3.32

***

[6]
This record from Alexandria via LeMat-Bulk describes an optimized crystal structure of Er5ThAl4. The functional is PBE.

Computed properties:
- crystal system = tetragonal
- ΔH_f (0 K) (eV per atom) = -0.306
- raw total energy (eV/atom) = -4.83

Unit cell a=3.5451 b=3.5451 c=19.4213 alpha=90.00 beta=90.00 gamma=90.00
With the nearest neighbours (Å) after each atom.
Space group P4/mmm (No. 123)
Unique sites:
Er (0.0000, 0.0000, 0.0000) x1  8 Al 3.09
Er (0.0000, 0.0000, 0.1854) x2  8 Al 3.08-3.10
Er (0.0000, 0.0000, 0.3733) x2  4 Al 3.10
Th (0.5000, 0.5000, 0.5000) x1  8 Er 3.51, 4 Th 3.55
Al (0.5000, 0.5000, 0.0928) x2  8 Er 3.08-3.09
Al (0.5000, 0.5000, 0.2791) x2  8 Er 3.10

***

[7]
This record from Alexandria via LeMat-Bulk describes an optimized crystal structure of Er7ThAl4. The functional is PBE.

Computed properties:
- crystal system = monoclinic
- ΔH_f (0 K) (eV per atom) = -0.004
- raw total energy (eV/atom) = -4.53

Unit cell a=13.7480 b=5.5525 c=10.2524 alpha=90.00 beta=124.42 gamma=90.00
With the nearest neighbours (Å) after each atom.
Space group C2/m (No. 12)
Unique sites:
Er (0.0000, 0.0000, 0.0000) x2  2 Th 2.78, 4 Al 2.86-2.93
Er (0.0663, 0.5000, 0.3908) x4  5 Al 3.02-3.38, 1 Er 3.22
Er (0.2048, 0.0000, 0.6487) x4  4 Al 2.89-3.16
Er (0.2128, 0.5000, 0.8801) x4  4 Er 3.22-3.46, 4 Al 3.25-3.31
Th (0.0000, 0.5000, 0.0000) x2  2 Er 2.78
Al (0.0531, 0.0000, 0.7602) x4  1 Al 2.75, 2 Er 2.89-2.93
Al (0.1780, 0.0000, 0.3330) x4  1 Al 2.75, 3 Er 2.86-3.04

***

[8]
This record from Alexandria via LeMat-Bulk describes an optimized crystal structure of Er12Th3Al5. The functional is PBE.

Computed properties:
- crystal system = cubic
- ΔH_f (0 K) (eV per atom) = 0.688
- raw total energy (eV/atom) = -4.10

Unit cell a=17.8071 b=17.8071 c=17.8071 alpha=90.00 beta=90.00 gamma=90.00
With the nearest neighbours (Å) after each atom.
Space group Ia-3d (No. 230)
Unique sites:
Er (0.0249, 0.0703, 0.6455) x96  2 Al 2.86-2.91
Th (0.0000, 0.2500, 0.1250) x24  8 Er 3.25-3.49
Al (0.0000, 0.0000, 0.0000) x16  6 Er 2.91
Al (0.0000, 0.2500, 0.3750) x24  4 Er 2.86

***

[9]
This record from Alexandria via LeMat-Bulk describes an optimized crystal structure of ErThAl. The functional is PBE.

Computed properties:
- crystal system = monoclinic
- offset from the most stable computed form (meV/atom) = 108.8
- ΔH_f (0 K) (eV per atom) = -0.060
- raw total energy (eV/atom) = -5.30

Unit cell a=8.6738 b=5.0143 c=7.3305 alpha=90.00 beta=90.10 gamma=90.00
With the nearest neighbours (Å) after each atom.
Space group C2/m (No. 12)
Unique sites:
Er (0.1666, 0.0000, 0.3984) x4  3 Al 2.99, 3 Er 3.25
Th (0.1670, 0.0000, 0.8898) x4  3 Al 3.20, 3 Th 3.31-3.32, 1 Er 3.58
Al (0.9999, 0.5000, 0.2968) x4  1 Al 2.98, 3 Er 2.99, 3 Th 3.20

***

[10]
This record from Alexandria via LeMat-Bulk describes an optimized crystal structure of Er3ThAl2. The functional is PBE.

Computed properties:
- crystal system = tetragonal
- ΔH_f (0 K) (eV per atom) = -0.255
- raw total energy (eV/atom) = -5.02

Unit cell a=3.5236 b=3.5236 c=12.3542 alpha=90.00 beta=90.00 gamma=90.00
With the nearest neighbours (Å) after each atom.
Space group P4/mmm (No. 123)
Unique sites:
Er (0.0000, 0.0000, 0.0000) x1  8 Al 3.11
Er (0.0000, 0.0000, 0.3001) x2  4 Al 3.10
Th (0.5000, 0.5000, 0.5000) x1  8 Er 3.51, 4 Th 3.52
Al (0.5000, 0.5000, 0.1503) x2  8 Er 3.10-3.11

***

[11]
This record from Alexandria via LeMat-Bulk describes an optimized crystal structure of ErTh2Al. The functional is PBE.

Computed properties:
- crystal system = tetragonal
- offset from the most stable computed form (meV/atom) = 83.5
- ΔH_f (0 K) (eV per atom) = -0.048
- raw total energy (eV/atom) = -5.83

Unit cell a=3.4592 b=3.4592 c=9.6214 alpha=90.00 beta=90.00 gamma=90.00
With the nearest neighbours (Å) after each atom.
Space group P4/mmm (No. 123)
Unique sites:
Er (0.0000, 0.0000, 0.0000) x1  4 Er 3.46, 8 Th 3.63
Th (0.5000, 0.5000, 0.2789) x2  4 Al 3.24, 4 Th 3.46, 4 Er 3.63
Al (0.0000, 0.0000, 0.5000) x1  8 Th 3.24, 4 Al 3.46

***

[12]
This record from Alexandria via LeMat-Bulk describes an optimized crystal structure of Er2ThAl2. The functional is PBE.

Computed properties:
- crystal system = monoclinic
- ΔH_f (0 K) (eV per atom) = -0.114
- raw total energy (eV/atom) = -4.92

Unit cell a=5.5725 b=3.6591 c=13.2196 alpha=90.00 beta=97.21 gamma=90.00
With the nearest neighbours (Å) after each atom.
Space group P2_1/m (No. 11)
Unique sites:
Er (0.1556, 0.2500, 0.1103) x2  5 Al 2.86-3.01
Er (0.2605, 0.7500, 0.5348) x2  4 Al 3.15-3.26, 4 Er 3.45-3.46, 2 Th 3.50
Th (0.3082, 0.2500, 0.7623) x2  4 Al 3.18-3.53, 2 Er 3.50
Al (0.2077, 0.2500, 0.3395) x2  5 Er 3.01-3.26
Al (0.3512, 0.7500, 0.9602) x2  2 Al 2.60, 1 Er 2.86

***

no.,volume (Å³ per atom),magnetic moment (μB per cell)
1,33.781,0.0
2,33.977,0.0
3,32.338,0.0
4,24.026,0.0
5,28.253,0.0
6,24.408,0.0
7,26.900,0.0
8,35.290,0.0
9,26.569,0.0
10,25.565,0.0
11,28.782,0.0
12,26.742,0.0